# LiNiOs2O8

A relaxed structure of LiNiOs2O8 (GGA+U, Alexandria via LeMat-Bulk).

As for the symmetry: I-4. The calculation puts the final energy at -6.51 eV/atom. As for the density of states at the Fermi level: 1.14 states/eV/cell.

a b c (Å): 7.812 7.812 7.812
angles (deg): 144.32 144.32 51.34
Sites, in units of the cell vectors:
Li (0.000, 0.000, 0.000)
Ni (0.750, 0.250, 0.500)
Os (0.250, 0.750, 0.500)
Os (0.500, 0.500, 0.000)
O (0.066, 0.590, 0.036)
O (0.202, 0.222, 0.547)
O (0.345, 0.798, 0.020)
O (0.410, 0.446, 0.475)
O (0.554, 0.029, 0.964)
O (0.675, 0.655, 0.453)
O (0.778, 0.325, 0.980)
O (0.971, 0.934, 0.525)